The following is a DFT calculation (PBE) of an optimized crystal structure of NbAlZnCo.

For the total energy, the calculation gives -91.78 eV for the cell shown.

The space group is F-43m (No. 216) and the conventional cell measures 6.0882, 6.0882 and 6.0882 Å, with angles of 90.00, 90.00 and 90.00 degrees. The distinct sites, in fractional coordinates, are Nb at (0.0000, 0.0000, 0.0000), Al at (0.0000, 0.0000, 0.5000), Zn at (0.2500, 0.2500, 0.2500) and Co at (0.2500, 0.2500, 0.7500).